The following is a GGA-PBE calculation of a geometry-optimized Nd4BiSb2 structure, from Alexandria.

Cell: 8.613 8.613 8.623 Å, 108.99 108.98 110.40°
Sites, in units of the cell vectors:
Sb  0.625  0.375  0.250
Sb  0.625  0.375  0.750
Sb  0.125  0.375  0.750
Sb  0.625  0.875  0.250
Bi  0.250  0.750  0.500
Bi  0.000  0.000  0.000
Nd  0.931  0.617  0.686
Nd  0.319  0.505  0.186
Nd  0.931  0.245  0.314
Nd  0.495  0.681  0.814
Nd  0.320  0.133  0.814
Nd  0.383  0.069  0.314
Nd  0.755  0.069  0.686
Nd  0.867  0.681  0.186

Values from the calculation:
V: 246 Å³/f.u.
raw total energy: -5.275 eV/atom
excess energy over the best structure of this formula in the dataset: 167.5 meV per atom
SG: Fddd